No. 1
A plane-wave DFT calculation with PBE-GGA was carried out for an optimized crystal structure of TbSeI.

```
TbSeI
1.0
11.2476 -2.3740 0.0000
11.2476 2.3740 0.0000
-2.5102 0.0000 9.8063
Tb Se I
4 4 4
Cartesian
2.6344 0.0000 3.6688
2.9803 0.0000 8.1542
17.0047 0.0000 1.6521
17.3506 0.0000 6.1375
4.3614 0.0000 0.9788
4.5458 0.0000 5.9264
15.4391 0.0000 3.8800
15.6236 0.0000 8.8276
0.7047 0.0000 6.1981
7.8850 0.0000 7.3245
12.0999 0.0000 2.4818
19.2803 0.0000 3.6083
```

Calculated values
- D(E_F): 0.000 states/eV/atom
- E: -4.77 eV per atom
- Calculated volume: 43.641 Å³ per atom
- Space-group type: C2/m, No. 12
- ΔE_f (raw): -1.5480 eV/atom

***

No. 2
A plane-wave DFT calculation with PBE-GGA was carried out for an optimized crystal structure of TbSeI.

```
TbSeI
1.0
7.5036 0.0000 0.0000
0.0000 4.2864 0.0000
-0.7924 0.0000 7.5311
Tb Se I
2 2 2
Cartesian
1.6459 1.0716 0.0616
5.0654 3.2148 7.4695
0.6441 3.2148 1.5331
6.0672 1.0716 5.9980
2.3634 3.2148 5.7385
4.3478 1.0716 1.7926
```

Calculated values
- D(E_F): 0.000 states/eV/atom
- E: -4.86 eV per atom
- Calculated volume: 40.371 Å³ per atom
- Space-group type: P2_1/m, No. 11
- ΔE_f (raw): -1.6345 eV/atom

***

No. 3
A plane-wave DFT calculation with PBE-GGA was carried out for an optimized crystal structure of TbSeI.

```
TbSeI
1.0
4.2656 0.0000 0.0000
0.0000 5.6738 0.0000
-1.3820 0.0000 10.4628
Tb Se I
2 2 2
Cartesian
0.3762 1.4185 4.0632
2.5073 4.2554 6.3996
0.3743 4.2554 4.4586
2.5093 1.4185 6.0042
0.3755 4.2554 8.6032
2.5080 1.4185 1.8595
```

Calculated values
- D(E_F): 0.000 states/eV/atom
- E: -4.92 eV per atom
- Calculated volume: 42.203 Å³ per atom
- Space-group type: P2_1/m, No. 11
- ΔE_f (raw): -1.6962 eV/atom

***

No. 4
A plane-wave DFT calculation with PBE-GGA was carried out for an optimized crystal structure of TbSeI.

```
TbSeI
1.0
-1.8579 1.8579 7.2353
1.8579 -1.8579 7.2353
1.8579 1.8579 -7.2353
Tb Se I
1 1 1
Cartesian
0.0000 0.0000 0.0000
0.0000 0.0000 8.5577
0.0000 0.0000 5.0576
```

Calculated values
- D(E_F): 0.190 states/eV/atom
- E: -4.60 eV per atom
- Calculated volume: 33.300 Å³ per atom
- Space-group type: I4mm, No. 107
- ΔE_f (raw): -1.3747 eV/atom

***

No. 5
A plane-wave DFT calculation with PBE-GGA was carried out for an optimized crystal structure of Tb2SeI.

```
Tb2SeI
1.0
2.0028 1.1563 8.0050
-2.0028 1.1563 8.0050
0.0000 -2.3126 8.0050
Tb Se I
2 1 1
Cartesian
0.0000 0.0000 5.5839
0.0000 0.0000 18.4310
0.0000 0.0000 12.0074
0.0000 0.0000 0.0000
```

Calculated values
- D(E_F): 0.443 states/eV/atom
- E: -4.78 eV per atom
- Calculated volume: 27.808 Å³ per atom
- Space-group type: R-3m, No. 166
- ΔE_f (raw): -1.2109 eV/atom
- Energy above the most stable polymorph in this dataset: 0.069 eV/f.u.

***

No. 6
A plane-wave DFT calculation with PBE-GGA was carried out for an optimized crystal structure of TcSe3I.

```
TcSe3I
1.0
4.9362 0.0000 0.0000
0.0000 4.9362 0.0000
0.0000 0.0000 4.9362
Tc Se I
1 3 1
Cartesian
0.0000 0.0000 0.0000
0.0000 0.0000 2.4681
0.0000 2.4681 0.0000
2.4681 0.0000 0.0000
2.4681 2.4681 2.4681
```

Calculated values
- D(E_F): 1.176 states/eV/atom
- E: -4.17 eV per atom
- Calculated volume: 24.055 Å³ per atom
- Space-group type: Pm-3m, No. 221
- ΔE_f (raw): 0.3017 eV/atom
- Energy above the most stable polymorph in this dataset: 0.000 eV/f.u.

***

No. 7
A plane-wave DFT calculation with PBE-GGA was carried out for an optimized crystal structure of TcSeI3.

```
TcSeI3
1.0
5.3603 0.0000 0.0000
0.0000 5.3603 0.0000
0.0000 0.0000 5.3603
Tc Se I
1 1 3
Cartesian
0.0000 0.0000 0.0000
2.6802 2.6802 2.6802
0.0000 0.0000 2.6802
0.0000 2.6802 0.0000
2.6802 0.0000 0.0000
```

Calculated values
- D(E_F): 1.402 states/eV/atom
- E: -3.06 eV per atom
- Calculated volume: 30.804 Å³ per atom
- Space-group type: Pm-3m, No. 221
- ΔE_f (raw): 0.6412 eV/atom
- Energy above the most stable polymorph in this dataset: 0.000 eV/f.u.

***

No. 8
A plane-wave DFT calculation with PBE-GGA was carried out for an optimized crystal structure of Tc2SeI2.

```
Tc2SeI2
1.0
6.8617 0.0000 0.0000
0.0000 6.8617 0.0000
0.0000 0.0000 4.6607
Tc Se I
4 2 4
Cartesian
0.8224 2.6084 0.0000
2.6084 6.0392 0.0000
4.2533 0.8224 0.0000
6.0392 4.2533 0.0000
0.0000 0.0000 0.0000
3.4308 3.4308 0.0000
1.1915 4.6223 2.3304
2.2393 1.1915 2.3304
4.6223 5.6702 2.3304
5.6702 2.2393 2.3304
```

Calculated values
- D(E_F): 1.047 states/eV/atom
- E: -4.69 eV per atom
- Calculated volume: 21.944 Å³ per atom
- Space-group type: P4/mbm, No. 127
- ΔE_f (raw): 0.7740 eV/atom

***

No. 9
A plane-wave DFT calculation with PBE-GGA was carried out for an optimized crystal structure of TcSeI.

```
TcSeI
1.0
5.6869 0.0000 0.0000
-0.0168 5.7247 0.0000
-2.0702 -0.9551 6.6323
Tc Se I
2 2 2
Cartesian
0.3247 5.2471 3.3105
3.2753 -0.4775 3.3218
-1.0472 3.5432 4.2030
4.6471 1.2264 2.4293
1.7990 4.2557 1.3814
1.8010 0.5139 5.2509
```

Calculated values
- D(E_F): 0.920 states/eV/atom
- E: -5.11 eV per atom
- Calculated volume: 35.987 Å³ per atom
- Space-group type: P-1, No. 2
- ΔE_f (raw): 0.0258 eV/atom

***

No. 10
A plane-wave DFT calculation with PBE-GGA was carried out for an optimized crystal structure of TcSe4I.

```
TcSe4I
1.0
4.0979 -7.5095 0.0000
4.0979 7.5095 0.0000
-2.7739 0.0000 6.1530
Tc Se I
2 8 2
Cartesian
3.4045 7.5022 1.5382
2.0175 -7.5022 4.6147
0.9123 5.5774 5.9565
0.1546 0.9407 3.7671
3.1228 5.5774 3.2730
1.5416 -0.9407 0.6906
3.8804 0.9407 5.4624
2.2992 -5.5774 2.8800
5.2674 -0.9407 2.3859
4.5097 -5.5774 0.1965
3.4045 1.9071 1.5382
2.0175 -1.9071 4.6147
```

Calculated values
- D(E_F): 0.079 states/eV/atom
- E: -4.48 eV per atom
- Calculated volume: 31.558 Å³ per atom
- Space-group type: C2/c, No. 15
- ΔE_f (raw): -0.1689 eV/atom

***

No. 11
A plane-wave DFT calculation with PBE-GGA was carried out for an optimized crystal structure of TcSeI3.

```
TcSeI3
1.0
5.7546 0.0000 0.0000
0.0000 5.7546 0.0000
0.0000 0.0000 5.7546
Tc Se I
1 1 3
Cartesian
0.0000 0.0000 0.0000
2.8773 2.8773 2.8773
0.0000 2.8773 2.8773
2.8773 0.0000 2.8773
2.8773 2.8773 0.0000
```

Calculated values
- D(E_F): 1.587 states/eV/atom
- E: -2.67 eV per atom
- Calculated volume: 38.112 Å³ per atom
- Space-group type: Pm-3m, No. 221
- ΔE_f (raw): 1.0340 eV/atom
- Energy above the most stable polymorph in this dataset: 1.964 eV/f.u.

***

No. 12
A plane-wave DFT calculation with PBE-GGA was carried out for an optimized crystal structure of TcSeI2.

```
TcSeI2
1.0
0.0000 3.7001 3.7001
3.7001 0.0000 3.7001
3.7001 3.7001 0.0000
Tc Se I
1 1 2
Cartesian
0.0000 0.0000 0.0000
3.7001 3.7001 3.7001
1.8500 1.8500 1.8500
5.5501 5.5501 5.5501
```

Calculated values
- D(E_F): 0.522 states/eV/atom
- E: -3.21 eV per atom
- Calculated volume: 25.328 Å³ per atom
- Space-group type: Fm-3m, No. 225
- ΔE_f (raw): 1.0232 eV/atom
- Energy above the most stable polymorph in this dataset: 1.083 eV/f.u.